Record 1
BaMg2Tl2 | GGA-PBEsol | relaxed

The calculation puts the calculated total energy at -24.79 eV for the cell shown. The formation energy comes out at -0.3104 eV/atom. The total moment comes out at 0.00 μB/atom.

Unit cell a=4.837 b=4.837 c=12.571 alpha=90.00 beta=90.00 gamma=90.00
Space group I4/mmm (No. 139)
One atom of each set of equivalent atoms:
Ba 0.000 0.000 0.000
Mg 0.000 0.500 0.250
Tl 0.000 0.000 0.382


Record 2
Ba3MgTl | GGA-PBEsol | relaxed

The calculation puts the calculated total energy at -10.13 eV for the cell shown. The formation energy comes out at 0.1322 eV/atom. The total moment comes out at 0.27 μB/atom.

Unit cell a=6.582 b=6.582 c=6.582 alpha=90.00 beta=90.00 gamma=90.00
Space group Pm-3m (No. 221)
One atom of each set of equivalent atoms:
Ba 0.000 0.000 0.500
Mg 0.500 0.500 0.500
Tl 0.000 0.000 0.000


Record 3
Ba2MgTl | GGA-PBEsol | relaxed

The calculation puts the calculated total energy at -38.72 eV for the cell shown. The formation energy comes out at -0.2586 eV/atom. The total moment comes out at 0.00 μB/atom.

Unit cell a=8.448 b=8.448 c=8.448 alpha=90.00 beta=90.00 gamma=90.00
Space group Fm-3m (No. 225)
One atom of each set of equivalent atoms:
Ba 0.250 0.250 0.250
Mg 0.000 0.000 0.000
Tl 0.000 0.000 0.500


The lowest calculated total energy belongs to which entry? Ba2MgTl